(1)
Material: BaWN2O
Method: DFT, PBE with a Hubbard U
State: relaxed

Geometry as POSCAR:
```
BaWN2O
1.0
4.088 0.000 0.000
0.000 4.088 0.000
0.000 0.000 4.145
Ba W N O
1 1 2 1
Direct
0.000 0.000 0.000 Ba
0.500 0.500 0.500 W
0.000 0.500 0.500 N
0.500 0.000 0.500 N
0.500 0.500 0.000 O
```

Properties
- Total DFT energy (no corrections): -7.22 eV/atom
- Magnetization: 0.0 Bohr magnetons per cell

---

(2)
Material: BaWN2O
Method: DFT, PBE with a Hubbard U
State: relaxed

Geometry as POSCAR:
```
BaWN2O
1.0
4.619 0.000 0.000
0.000 4.619 0.000
0.000 0.000 4.679
Ba W N O
1 1 2 1
Direct
0.000 0.000 0.000 Ba
0.500 0.500 0.500 W
0.000 0.500 0.000 N
0.500 0.000 0.000 N
0.000 0.000 0.500 O
```

Properties
- Total DFT energy (no corrections): -4.18 eV/atom
- Magnetization: 2.0 Bohr magnetons per cell